Here is an optimized crystal structure of AsRu3 from Alexandria via LeMat-Bulk. Energies are from PBE.

Results
E above lowest polymorph   151 meV/atom
VASP energy   -63.23 eV/cell
Total magnetic moment   0.0 μB per formula unit
Calculated formation energy   83 kJ/mol of formula units

The structure in POSCAR format:
```
AsRu3
1.0
2.7887 -4.8302 0.0000
2.7887 4.8302 0.0000
0.0000 0.0000 4.2323
As Ru
2 6
direct
0.3333 0.6667 0.2500
0.6667 0.3333 0.7500
0.8311 0.6622 0.2500
0.3378 0.1689 0.2500
0.8311 0.1689 0.2500
0.1689 0.3378 0.7500
0.6622 0.8311 0.7500
0.1689 0.8311 0.7500
```